No. 1
# Er7HgIr4

A geometry-optimized Er7HgIr4 structure (PBE, Alexandria).

The space group is C2/m (No. 12) and the conventional cell measures 13.652, 5.325 and 9.734 Å, with angles of 90.00, 126.12 and 90.00 degrees. Symmetry generates all atoms from Er at (0.000, 0.000, 0.000), Er at (0.075, 0.500, 0.358), Er at (0.172, 0.000, 0.616), Er at (0.214, 0.500, 0.872), Hg at (0.000, 0.500, 0.000), Ir at (0.068, 0.000, 0.779) and Ir at (0.205, 0.000, 0.343).

No. 2
# Er3HgIr

A geometry-optimized Er3HgIr structure (PBE, Alexandria).

The space group is P-1 (No. 2) and the conventional cell measures 5.552, 6.001 and 8.655 Å, with angles of 101.02, 99.92 and 113.77 degrees. Symmetry generates all atoms from Er at (0.055, 0.185, 0.282), Er at (0.294, 0.440, 0.727), Er at (0.299, 0.798, 0.103), Hg at (0.311, 0.750, 0.480) and Ir at (0.248, 0.246, 0.999).

Number 1: M_tot 0.00 μB per atom, E_tot -6.20 eV/atom, energy of formation -6.7 eV per formula unit. Number 2: M_tot 0.00 μB per atom, E_tot -5.19 eV/atom, energy of formation -3.1 eV per formula unit.